Material: KLi2Au2
Method: DFT, PBE-GGA
State: relaxed

The space group is P4/mbm (127). The calculated total energy is -26.7 eV/cell.

extended XYZ file:
```
10
Lattice="8.2217 0.0000 0.0000 0.0000 8.2217 0.0000 0.0000 0.0000 2.9959" Properties=species:S:1:pos:R:3 pbc="T T T"
K 0.0000 0.0000 0.0000
K 4.1108 4.1108 0.0000
Li 1.0004 3.1104 0.0000
Li 3.1104 7.2213 0.0000
Li 5.1113 1.0004 0.0000
Li 7.2213 5.1113 0.0000
Au 1.3482 5.4591 1.4979
Au 2.7626 1.3482 1.4979
Au 5.4591 6.8735 1.4979
Au 6.8735 2.7626 1.4979
```

Material: KLiAu2
Method: DFT, PBE-GGA
State: relaxed

The space group is Imm2 (44). The calculated total energy is -10.3 eV/cell.

extended XYZ file:
```
4
Lattice="-1.9198 2.5657 4.7802 1.9198 -2.5657 4.7802 1.9198 2.5657 -4.7802" Properties=species:S:1:pos:R:3 pbc="T T T"
K 0.0000 0.0000 0.0000
Li 1.9198 0.0000 2.7772
Au 0.0000 0.0000 4.6434
Au 0.0000 2.5657 2.0924
```

Material: KLi2Au2
Method: DFT, PBE-GGA
State: relaxed

The space group is I4/mmm (139). The calculated total energy is -13.4 eV/cell.

extended XYZ file:
```
5
Lattice="-2.2432 2.2432 5.8070 2.2432 -2.2432 5.8070 2.2432 2.2432 -5.8070" Properties=species:S:1:pos:R:3 pbc="T T T"
K 0.0000 0.0000 0.0000
Li 2.2432 0.0000 2.9035
Li 0.0000 2.2432 2.9035
Au 0.0000 0.0000 4.3886
Au 0.0000 0.0000 7.2255
```

Material: K2LiAu
Method: DFT, PBE-GGA
State: relaxed

The space group is C2/m (12). The calculated total energy is -7.4 eV/cell.

extended XYZ file:
```
4
Lattice="4.0602 -2.0475 0.0000 4.0602 2.0475 0.0000 -1.7846 0.0000 10.2119" Properties=species:S:1:pos:R:3 pbc="T T T"
K 1.5216 0.0000 2.0948
K 4.8142 0.0000 8.1171
Li -0.8923 0.0000 5.1059
Au 4.0602 0.0000 0.0000
```

Material: K2LiAu2
Method: DFT, PBE-GGA
State: relaxed

The space group is C2/m (12). The calculated total energy is -24.5 eV/cell.

extended XYZ file:
```
10
Lattice="5.9045 -2.4177 0.0000 5.9045 2.4177 0.0000 -5.6324 0.0000 10.2111" Properties=species:S:1:pos:R:3 pbc="T T T"
K -1.1889 0.0000 4.0199
K -0.7546 0.0000 8.3726
K 6.9312 0.0000 1.8386
K 7.3655 0.0000 6.1913
Li 3.3129 0.0000 1.2283
Li 2.8637 0.0000 8.9828
Au -4.3118 0.0000 9.6132
Au 2.3938 0.0000 3.8399
Au 3.7828 0.0000 6.3712
Au 10.4884 0.0000 0.5979
```

Material: KLiAu2
Method: DFT, PBE-GGA
State: relaxed

The space group is Cmmm (65). The calculated total energy is -10.3 eV/cell.

extended XYZ file:
```
4
Lattice="3.9172 -3.9349 0.0000 3.9172 3.9349 0.0000 0.0000 0.0000 2.9897" Properties=species:S:1:pos:R:3 pbc="T T T"
K 0.0000 0.0000 0.0000
Li 3.9172 0.0000 0.0000
Au 1.9586 1.9674 1.4949
Au 1.9586 -1.9674 1.4949
```

Material: K2LiAu
Method: DFT, PBE-GGA
State: relaxed

The space group is Pm (6). The calculated total energy is -8.0 eV/cell.

extended XYZ file:
```
4
Lattice="5.0967 0.0000 0.0000 0.0000 4.6150 0.0000 -2.5391 0.0000 6.3098" Properties=species:S:1:pos:R:3 pbc="T T T"
K 0.0000 0.0000 0.0000
K 0.0049 2.3075 3.7118
Li 2.5510 0.0000 2.3285
Au 2.5483 2.3075 1.1161
```

Material: KLiAu3
Method: DFT, PBE-GGA
State: relaxed

The space group is Pm-3m (221). The calculated total energy is -13.2 eV/cell.

extended XYZ file:
```
5
Lattice="4.8665 0.0000 0.0000 0.0000 4.8665 0.0000 0.0000 0.0000 4.8665" Properties=species:S:1:pos:R:3 pbc="T T T"
K 0.0000 0.0000 0.0000
Li 2.4332 2.4332 2.4332
Au 0.0000 2.4332 2.4332
Au 2.4332 0.0000 2.4332
Au 2.4332 2.4332 0.0000
```